# Zr3NiGe4 PBE relaxed
data_Zr3NiGe4
_space_group_name_H-M_alt 'P 1 m 1'
_space_group_IT_number 6
_cell_length_a 6.176
_cell_length_b 3.840
_cell_length_c 6.495
_cell_angle_alpha 90.00
_cell_angle_beta 90.60
_cell_angle_gamma 90.00
loop_
_space_group_symop_operation_xyz
'x,y,z'
'x,-y,z'
loop_
_atom_site_label
_atom_site_fract_x
_atom_site_fract_y
_atom_site_fract_z
_atom_site_occupancy
Zr1 0.000 0.000 0.000 1
Zr2 0.071 0.000 0.513 1
Zr3 0.542 0.500 0.052 1
Ni1 0.469 0.500 0.529 1
Ge1 0.166 0.500 0.249 1
Ge2 0.406 0.000 0.773 1
Ge3 0.648 0.000 0.362 1
Ge4 0.820 0.500 0.717 1
# - ρ (g/cm3) = 6.7
# - total energy (eV/atom) = -6.57

---

# NpPaGe PBE relaxed
data_NpPaGe
_space_group_name_H-M_alt 'F -4 3 m'
_space_group_IT_number 216
_space_group_name_Hall 'F -4 2 3'
_cell_length_a 6.791
_cell_length_b 6.791
_cell_length_c 6.791
_cell_angle_alpha 90.00
_cell_angle_beta 90.00
_cell_angle_gamma 90.00
loop_
_atom_site_label
_atom_site_fract_x
_atom_site_fract_y
_atom_site_fract_z
_atom_site_occupancy
Np1 0.000 0.000 0.000 1
Pa1 0.000 0.000 0.500 1
Ge1 0.250 0.250 0.250 1
# - ρ (g/cm3) = 11.5
# - total energy (eV/atom) = -8.71

---

# NpGe4Pd6 PBE relaxed
data_NpGe4Pd6
_space_group_name_H-M_alt 'P -6 m 2'
_space_group_IT_number 187
_space_group_name_Hall 'P -6 2'
_cell_length_a 7.4067
_cell_length_b 7.4067
_cell_length_c 3.8775
_cell_angle_alpha 90.00
_cell_angle_beta 90.00
_cell_angle_gamma 120.00
loop_
_atom_site_label
_atom_site_fract_x
_atom_site_fract_y
_atom_site_fract_z
_atom_site_occupancy
Np1 0.0000 0.0000 0.0000 1
Ge1 0.3333 0.6667 0.0000 1
Ge2 0.3770 0.1885 0.5000 1
Pd1 0.1995 0.3990 0.5000 1
Pd2 0.5355 0.0711 0.0000 1
# - ρ (g/cm3) = 10.5
# - total energy (eV/atom) = -6.19

---

# NpGePd PBE relaxed
data_NpGePd
_space_group_name_H-M_alt 'F -4 3 m'
_space_group_IT_number 216
_space_group_name_Hall 'F -4 2 3'
_cell_length_a 6.437
_cell_length_b 6.437
_cell_length_c 6.437
_cell_angle_alpha 90.00
_cell_angle_beta 90.00
_cell_angle_gamma 90.00
loop_
_atom_site_label
_atom_site_fract_x
_atom_site_fract_y
_atom_site_fract_z
_atom_site_occupancy
Np1 0.000 0.000 0.000 1
Ge1 0.000 0.000 0.500 1
Pd1 0.250 0.250 0.750 1
# - ρ (g/cm3) = 10.4
# - total energy (eV/atom) = -7.75

---

# NpGePt PBE relaxed
data_NpGePt
_space_group_name_H-M_alt 'I m m 2'
_space_group_IT_number 44
_cell_length_a 4.417
_cell_length_b 7.019
_cell_length_c 7.625
_cell_angle_alpha 90.00
_cell_angle_beta 90.00
_cell_angle_gamma 90.00
loop_
_space_group_symop_operation_xyz
'x,y,z'
'-x,-y,z'
'-x,y,z'
'x,-y,z'
'x+1/2,y+1/2,z+1/2'
'-x+1/2,-y+1/2,z+1/2'
'-x+1/2,y+1/2,z+1/2'
'x+1/2,-y+1/2,z+1/2'
loop_
_atom_site_label
_atom_site_fract_x
_atom_site_fract_y
_atom_site_fract_z
_atom_site_occupancy
Np1 0.000 0.000 0.000 1
Np2 0.000 0.500 0.089 1
Ge1 0.000 0.197 0.384 1
Pt1 0.000 0.288 0.714 1
# - ρ (g/cm3) = 14.2
# - total energy (eV/atom) = -8.44

---

# PuNpGe PBE relaxed
data_PuNpGe
_space_group_name_H-M_alt 'F -4 3 m'
_space_group_IT_number 216
_space_group_name_Hall 'F -4 2 3'
_cell_length_a 6.794
_cell_length_b 6.794
_cell_length_c 6.794
_cell_angle_alpha 90.00
_cell_angle_beta 90.00
_cell_angle_gamma 90.00
loop_
_atom_site_label
_atom_site_fract_x
_atom_site_fract_y
_atom_site_fract_z
_atom_site_occupancy
Pu1 0.000 0.000 0.000 1
Np1 0.000 0.000 0.500 1
Ge1 0.250 0.250 0.750 1
# - relative energy among the computed polymorphs (eV per formula unit) = 0.00
# - ρ (g/cm3) = 11.7

---

# RbNpGe PBE relaxed
data_RbNpGe
_space_group_name_H-M_alt 'F -4 3 m'
_space_group_IT_number 216
_space_group_name_Hall 'F -4 2 3'
_cell_length_a 7.504
_cell_length_b 7.504
_cell_length_c 7.504
_cell_angle_alpha 90.00
_cell_angle_beta 90.00
_cell_angle_gamma 90.00
loop_
_atom_site_label
_atom_site_fract_x
_atom_site_fract_y
_atom_site_fract_z
_atom_site_occupancy
Rb1 0.000 0.000 0.000 1
Np1 0.000 0.000 0.500 1
Ge1 0.250 0.250 0.750 1
# - ρ (g/cm3) = 6.2
# - total energy (eV/atom) = -5.32

---

# Np3GeS6 PBE relaxed
data_Np3GeS6
_space_group_name_H-M_alt 'C m c 21'
_space_group_IT_number 36
_cell_length_a 10.460
_cell_length_b 12.952
_cell_length_c 6.783
_cell_angle_alpha 90.00
_cell_angle_beta 90.00
_cell_angle_gamma 90.00
loop_
_space_group_symop_operation_xyz
'x,y,z'
'-x,-y,z+1/2'
'-x,y,z'
'x,-y,z+1/2'
'x+1/2,y+1/2,z'
'-x+1/2,-y+1/2,z+1/2'
'-x+1/2,y+1/2,z'
'x+1/2,-y+1/2,z+1/2'
loop_
_atom_site_label
_atom_site_fract_x
_atom_site_fract_y
_atom_site_fract_z
_atom_site_occupancy
Np1 0.000 0.102 0.000 1
Np2 0.184 0.399 0.907 1
Ge1 0.000 0.324 0.369 1
S1 0.000 0.271 0.767 1
S2 0.000 0.487 0.151 1
S3 0.162 0.031 0.705 1
S4 0.170 0.236 0.187 1
# - ρ (g/cm3) = 7.1
# - total energy (eV/atom) = -7.96

---

# NpScGe PBE relaxed
data_NpScGe
_space_group_name_H-M_alt 'F -4 3 m'
_space_group_IT_number 216
_space_group_name_Hall 'F -4 2 3'
_cell_length_a 6.685
_cell_length_b 6.685
_cell_length_c 6.685
_cell_angle_alpha 90.00
_cell_angle_beta 90.00
_cell_angle_gamma 90.00
loop_
_atom_site_label
_atom_site_fract_x
_atom_site_fract_y
_atom_site_fract_z
_atom_site_occupancy
Np1 0.000 0.000 0.000 1
Sc1 0.000 0.000 0.500 1
Ge1 0.250 0.250 0.250 1
# - relative energy among the computed polymorphs (eV per formula unit) = 0.00
# - ρ (g/cm3) = 7.9

---

# NpSiGe PBE relaxed
data_NpSiGe
_space_group_name_H-M_alt 'F -4 3 m'
_space_group_IT_number 216
_space_group_name_Hall 'F -4 2 3'
_cell_length_a 6.310
_cell_length_b 6.310
_cell_length_c 6.310
_cell_angle_alpha 90.00
_cell_angle_beta 90.00
_cell_angle_gamma 90.00
loop_
_atom_site_label
_atom_site_fract_x
_atom_site_fract_y
_atom_site_fract_z
_atom_site_occupancy
Np1 0.000 0.000 0.000 1
Si1 0.250 0.250 0.750 1
Ge1 0.000 0.000 0.500 1
# - relative energy among the computed polymorphs (eV per formula unit) = 0.00
# - ρ (g/cm3) = 8.9

---

# NpSiGe PBE relaxed
data_NpSiGe
_space_group_name_H-M_alt 'F -4 3 m'
_space_group_IT_number 216
_space_group_name_Hall 'F -4 2 3'
_cell_length_a 6.391
_cell_length_b 6.391
_cell_length_c 6.391
_cell_angle_alpha 90.00
_cell_angle_beta 90.00
_cell_angle_gamma 90.00
loop_
_atom_site_label
_atom_site_fract_x
_atom_site_fract_y
_atom_site_fract_z
_atom_site_occupancy
Np1 0.000 0.000 0.000 1
Si1 0.250 0.250 0.250 1
Ge1 0.250 0.250 0.750 1
# - relative energy among the computed polymorphs (eV per formula unit) = 0.50
# - ρ (g/cm3) = 8.6

---

# TbNpGe PBE relaxed
data_TbNpGe
_space_group_name_H-M_alt 'F -4 3 m'
_space_group_IT_number 216
_space_group_name_Hall 'F -4 2 3'
_cell_length_a 6.818
_cell_length_b 6.818
_cell_length_c 6.818
_cell_angle_alpha 90.00
_cell_angle_beta 90.00
_cell_angle_gamma 90.00
loop_
_atom_site_label
_atom_site_fract_x
_atom_site_fract_y
_atom_site_fract_z
_atom_site_occupancy
Tb1 0.000 0.000 0.000 1
Np1 0.000 0.000 0.500 1
Ge1 0.250 0.250 0.750 1
# - relative energy among the computed polymorphs (eV per formula unit) = 0.00
# - ρ (g/cm3) = 9.8